# Si2MoO6, optimized geometry, DFT PBE+U
data_Si2MoO6
_cell_length_a 9.857
_cell_length_b 9.184
_cell_length_c 5.430
_cell_angle_alpha 90.00
_cell_angle_beta 110.44
_cell_angle_gamma 90.00
_space_group_name_H-M_alt 'C 1 2/c 1'
_space_group_IT_number 15
loop_
_space_group_symop_operation_xyz
'x,y,z'
'-x,-y,-z'
'-x,y,-z+1/2'
'x,-y,z+1/2'
'x+1/2,y+1/2,z'
'-x+1/2,-y+1/2,-z'
'-x+1/2,y+1/2,-z+1/2'
'x+1/2,-y+1/2,z+1/2'
loop_
_atom_site_label
_atom_site_fract_x
_atom_site_fract_y
_atom_site_fract_z
Si1 0.195 0.081 0.248
Mo1 0.000 0.393 0.250
O1 0.123 0.435 0.635
O2 0.140 0.001 0.465
O3 0.141 0.248 0.210
# uncorrected energy: -7.67 eV/atom
# total magnetization: 8.0 μB/cell